The following is a PBE-GGA calculation of a relaxed PtPbIO2 crystal, from Alexandria.

Lattice parameters (Å, degrees): 4.075 4.075 7.733 90.00 90.00 90.00
Sites, in units of the cell vectors:
I  0.000  0.000  0.500
O  0.000  0.500  0.000
Pb  0.000  0.000  0.000
O  0.500  0.000  0.000
Pt  0.500  0.500  0.500

Results
D(E_F), states/eV per atom: 1.245
Uncorrected formation energy, eV/f.u.: 1.06
ρ, g/cm³: 7.3
Energy, eV/cell: -20.2


The following is a PBE-GGA calculation of a relaxed PuPbIO6 crystal, from Alexandria.

Lattice parameters (Å, degrees): 5.746 5.746 10.487 90.00 90.00 120.00
Sites, in units of the cell vectors:
Pb  0.000  0.000  0.000
Pu  0.667  0.333  0.250
Pu  0.333  0.667  0.750
O  0.373  0.365  0.856
O  0.635  0.627  0.644
O  0.627  0.993  0.356
O  0.373  0.007  0.644
O  0.993  0.627  0.856
O  0.635  0.007  0.856
I  0.667  0.333  0.750
O  0.365  0.993  0.144
Pb  0.000  0.000  0.500
O  0.365  0.373  0.356
O  0.007  0.635  0.356
O  0.007  0.373  0.144
I  0.333  0.667  0.250
O  0.993  0.365  0.644
O  0.627  0.635  0.144

Results
D(E_F), states/eV per atom: 0.815
Uncorrected formation energy, eV/f.u.: -12.50
ρ, g/cm³: 7.5
Energy, eV/cell: -123.7


The following is a PBE-GGA calculation of a relaxed RbPbI2O8 crystal, from Alexandria.

Lattice parameters (Å, degrees): 6.031 6.467 7.744 56.98 67.08 62.21
Sites, in units of the cell vectors:
O  0.387  0.970  0.768
O  0.907  0.416  0.771
O  0.330  0.430  0.910
Rb  0.500  0.500  0.500
Pb  0.000  0.000  0.000
I  0.724  0.741  0.810
O  0.613  0.030  0.232
I  0.276  0.259  0.190
O  0.093  0.584  0.229
O  0.874  0.970  0.768
O  0.126  0.030  0.232
O  0.670  0.570  0.090

Results
D(E_F), states/eV per atom: 0.355
Uncorrected formation energy, eV/f.u.: -6.34
ρ, g/cm³: 5.1
Energy, eV/cell: -53.8


The following is a PBE-GGA calculation of a relaxed RbPb2IO8 crystal, from Alexandria.

Lattice parameters (Å, degrees): 5.278 4.865 8.300 89.95 90.00 93.09
Sites, in units of the cell vectors:
I  0.000  0.000  0.000
O  0.701  0.734  0.000
Rb  0.000  0.000  0.500
O  0.493  0.865  0.500
O  0.846  0.192  0.830
O  0.507  0.135  0.500
O  0.155  0.809  0.831
O  0.299  0.266  0.000
Pb  0.500  0.500  0.796
O  0.845  0.191  0.169
O  0.154  0.808  0.170
Pb  0.500  0.500  0.204

Results
D(E_F), states/eV per atom: 0.579
Uncorrected formation energy, eV/f.u.: -7.76
ρ, g/cm³: 5.9
Energy, eV/cell: -57.4


The following is a PBE-GGA calculation of a relaxed RePbIO2 crystal, from Alexandria.

Lattice parameters (Å, degrees): 4.198 4.198 6.832 90.00 90.00 90.00
Sites, in units of the cell vectors:
Pb  0.000  0.000  0.000
O  0.000  0.500  0.000
O  0.500  0.000  0.000
Re  0.500  0.500  0.500
I  0.000  0.000  0.500

Results
D(E_F), states/eV per atom: 0.411
Uncorrected formation energy, eV/f.u.: 4.34
ρ, g/cm³: 7.6
Energy, eV/cell: -23.3


The following is a PBE-GGA calculation of a relaxed RePbI2O crystal, from Alexandria.

Lattice parameters (Å, degrees): 5.749 5.749 3.812 90.00 90.00 90.00
Sites, in units of the cell vectors:
Pb  0.500  0.500  0.500
I  0.500  0.000  0.000
I  0.000  0.500  0.000
Re  0.000  0.000  0.000
O  0.000  0.000  0.500

Results
D(E_F), states/eV per atom: 0.393
Uncorrected formation energy, eV/f.u.: -0.52
ρ, g/cm³: 8.7
Energy, eV/cell: -24.7


The following is a PBE-GGA calculation of a relaxed RePbI2O crystal, from Alexandria.

Lattice parameters (Å, degrees): 6.337 6.337 4.233 90.00 90.00 90.00
Sites, in units of the cell vectors:
I  0.000  0.500  0.000
Re  0.500  0.500  0.500
Pb  0.000  0.000  0.000
I  0.500  0.000  0.000
O  0.000  0.000  0.500

Results
D(E_F), states/eV per atom: 0.405
Uncorrected formation energy, eV/f.u.: 4.88
ρ, g/cm³: 6.5
Energy, eV/cell: -19.3


The following is a PBE-GGA calculation of a relaxed RePbIO2 crystal, from Alexandria.

Lattice parameters (Å, degrees): 4.057 4.057 6.210 90.00 90.00 90.00
Sites, in units of the cell vectors:
I  0.000  0.000  0.500
Re  0.000  0.000  0.000
O  0.500  0.000  0.000
O  0.000  0.500  0.000
Pb  0.500  0.500  0.500

Results
D(E_F), states/eV per atom: 0.822
Uncorrected formation energy, eV/f.u.: -0.64
ρ, g/cm³: 9.0
Energy, eV/cell: -28.3


The following is a PBE-GGA calculation of a relaxed RhPbIO2 crystal, from Alexandria.

Lattice parameters (Å, degrees): 4.290 4.290 5.227 90.00 90.00 90.00
Sites, in units of the cell vectors:
I  0.000  0.000  0.500
Pb  0.500  0.500  0.500
Rh  0.000  0.000  0.000
O  0.000  0.500  0.000
O  0.500  0.000  0.000

Results
D(E_F), states/eV per atom: 0.608
Uncorrected formation energy, eV/f.u.: -0.06
ρ, g/cm³: 8.1
Energy, eV/cell: -22.6


The following is a PBE-GGA calculation of a relaxed RhPbIO6 crystal, from Alexandria.

Lattice parameters (Å, degrees): 5.306 5.306 5.434 90.00 90.00 60.00
Sites, in units of the cell vectors:
O  0.624  0.011  0.299
O  0.366  0.624  0.299
Pb  0.000  0.000  0.000
Rh  0.667  0.667  0.500
O  0.011  0.366  0.299
O  0.011  0.624  0.701
O  0.624  0.366  0.701
O  0.366  0.011  0.701
I  0.333  0.333  0.500

Results
Uncorrected formation energy, eV/f.u.: -6.08
ρ, g/cm³: 6.7
Energy, eV/cell: -48.4


The following is a PBE-GGA calculation of a relaxed RhPbIO2 crystal, from Alexandria.

Lattice parameters (Å, degrees): 4.137 4.137 6.970 90.00 90.00 90.00
Sites, in units of the cell vectors:
O  0.000  0.500  0.000
I  0.000  0.000  0.500
Rh  0.500  0.500  0.500
Pb  0.000  0.000  0.000
O  0.500  0.000  0.000

Results
D(E_F), states/eV per atom: 0.635
Uncorrected formation energy, eV/f.u.: 1.30
ρ, g/cm³: 6.5
Energy, eV/cell: -21.2


The following is a PBE-GGA calculation of a relaxed RuPbI2O crystal, from Alexandria.

Lattice parameters (Å, degrees): 5.860 5.860 4.120 90.00 90.00 90.00
Sites, in units of the cell vectors:
I  0.000  0.500  0.000
Ru  0.500  0.500  0.500
O  0.000  0.000  0.500
I  0.500  0.000  0.000
Pb  0.000  0.000  0.000

Results
D(E_F), states/eV per atom: 0.248
Uncorrected formation energy, eV/f.u.: 3.58
ρ, g/cm³: 6.8
Energy, eV/cell: -17.5